# 1
The following is a PBE calculation of a relaxed structure of Pm6Nd2Sm3, from Alexandria.

a = 32.838 Å, b = 32.838 Å, c = 32.838 Å
α = 6.37°, β = 6.37°, γ = 6.37°
Sites, in units of the cell vectors:
1 Pm 0.090 0.090 0.090
2 Pm 0.182 0.182 0.182
3 Pm 0.364 0.364 0.364
4 Pm 0.636 0.636 0.636
5 Pm 0.818 0.818 0.818
6 Pm 0.910 0.910 0.910
7 Nd 0.454 0.454 0.454
8 Nd 0.546 0.546 0.546
9 Sm 0.000 0.000 0.000
10 Sm 0.273 0.273 0.273
11 Sm 0.727 0.727 0.727

ΔE to the lowest computed polymorph (eV per atom): 0.000
Energy of formation from the pure elements (eV per formula unit): 0.12
Spin magnetization (μB/atom): 0.000
Raw total energy (eV per formula unit): -52.08

***

# 2
The following is a PBE calculation of a relaxed structure of Zr2TiNi2, from Alexandria.

a = 5.302 Å, b = 5.302 Å, c = 5.302 Å
α = 136.88°, β = 120.91°, γ = 75.90°
Sites, in units of the cell vectors:
1 Zr 0.202 0.202 0.000
2 Zr 0.798 0.798 0.000
3 Ti 0.500 0.000 0.500
4 Ni 0.228 0.500 0.728
5 Ni 0.772 0.500 0.272

ΔE to the lowest computed polymorph (eV per atom): 0.000
Energy of formation from the pure elements (eV per formula unit): -1.60
Spin magnetization (μB/atom): 0.000
Raw total energy (eV per formula unit): -38.15